No. 1
This record from Alexandria via LeMat-Bulk describes an optimized crystal structure of SbAs2. The functional is PBE.

Properties
- Total energy: -52.81 eV for the cell shown
- DOS at the Fermi energy: 0.122 states/eV/atom

abc: 12.117 3.467 8.796
angles: 90.00 111.15 90.00
Space group C2/m (No. 12)
Asymmetric unit:
Sb 0.067 0.000 0.172 [4 per cell]
As 0.111 0.500 0.564 [4 per cell]
As 0.142 0.000 0.776 [4 per cell]

No. 2
This record from Alexandria via LeMat-Bulk describes an optimized crystal structure of SbAs. The functional is PBE.

Properties
- Total energy: -17.36 eV for the cell shown
- DOS at the Fermi energy: 0.080 states/eV/atom

abc: 5.986 4.038 4.445
angles: 90.00 90.00 90.00
Space group Pmma (No. 51)
Asymmetric unit:
Sb 0.250 0.000 0.057 [2 per cell]
As 0.250 0.500 0.462 [2 per cell]

No. 3
This record from Alexandria via LeMat-Bulk describes an optimized crystal structure of Sb3As. The functional is PBE.

Properties
- Total energy: -32.19 eV for the cell shown
- DOS at the Fermi energy: 0.532 states/eV/atom

abc: 3.964 4.731 11.287
angles: 90.00 90.00 90.00
Space group Immm (No. 71)
Asymmetric unit:
Sb 0.000 0.000 0.000 [2 per cell]
Sb 0.000 0.500 0.197 [4 per cell]
As 0.000 0.000 0.500 [2 per cell]

No. 4
This record from Alexandria via LeMat-Bulk describes an optimized crystal structure of SbAs3. The functional is PBE.

Properties
- Total energy: -34.20 eV for the cell shown
- DOS at the Fermi energy: 0.480 states/eV/atom

abc: 3.420 7.967 7.020
angles: 90.00 90.00 90.00
Space group Imm2 (No. 44)
Asymmetric unit:
Sb 0.000 0.000 0.000 [2 per cell]
As 0.000 0.199 0.338 [4 per cell]
As 0.000 0.500 0.009 [2 per cell]

No. 5
This record from Alexandria via LeMat-Bulk describes an optimized crystal structure of SbAs. The functional is PBE.

Properties
- Total energy: -34.89 eV for the cell shown
- DOS at the Fermi energy: 0.044 states/eV/atom

abc: 11.962 4.060 4.571
angles: 90.00 91.77 90.00
Space group C2/m (No. 12)
Asymmetric unit:
Sb 0.121 0.000 0.080 [4 per cell]
As 0.103 0.500 0.476 [4 per cell]

No. 6
This record from Alexandria via LeMat-Bulk describes an optimized crystal structure of Sb3As. The functional is PBE.

Properties
- Total energy: -65.71 eV for the cell shown
- DOS at the Fermi energy: 0.611 states/eV/atom

abc: 7.116 7.452 8.463
angles: 90.00 90.00 90.00
Space group Pnma (No. 62)
Asymmetric unit:
Sb 0.075 0.250 0.121 [4 per cell]
Sb 0.226 0.506 0.375 [8 per cell]
As 0.103 0.250 0.623 [4 per cell]

No. 7
This record from Alexandria via LeMat-Bulk describes an optimized crystal structure of SbAs. The functional is PBE.

Properties
- Total energy: -16.62 eV for the cell shown
- DOS at the Fermi energy: 0.394 states/eV/atom

abc: 5.141 5.141 3.801
angles: 90.00 90.00 90.00
Space group P4/nmm (No. 129, origin choice 2)
Asymmetric unit:
Sb 0.250 0.750 0.000 [2 per cell]
As 0.250 0.250 0.342 [2 per cell]

No. 8
This record from Alexandria via LeMat-Bulk describes an optimized crystal structure of SbAs. The functional is PBE.

Properties
- Total energy: -52.33 eV for the cell shown
- DOS at the Fermi energy: 0.118 states/eV/atom

abc: 4.099 17.721 4.366
angles: 90.00 90.00 90.00
Space group Pmmn (No. 59, origin choice 2)
Asymmetric unit:
Sb 0.250 0.087 0.222 [4 per cell]
Sb 0.250 0.750 0.269 [2 per cell]
As 0.250 0.250 0.307 [2 per cell]
As 0.250 0.587 0.193 [4 per cell]

Total moment in μB per atom, matching the order above: 0.000 0.000 0.000 0.000 0.000 0.000 0.000 0.000
Uncorrected formation energy in eV per atom, matching the order above: 0.0731 0.0459 0.2309 0.2432 0.0243 0.1472 0.2312 0.0247